A relaxed structure of BeTc2As, computed with PBE-GGA.

Output
- Raw total energy: -28.1 eV/cell
- E above lowest polymorph: 423.9 meV per atom
- Volume: 13.767 A^3/atom
- Total magnetization: 0.003 Bohr magnetons per cell
- ΔH_f (0 K): 0.2589 eV/atom

Unit cell a=4.2704 b=4.2704 c=4.2704 alpha=60.00 beta=60.00 gamma=60.00
Closest atoms and distances in Å follow each position.
Positions (direct):
As 0.5000 0.5000 0.5000  4 Tc 2.62, 4 Be 2.62
Be 0.2500 0.2500 0.2500  4 As 2.62, 4 Tc 2.62
Tc 0.7500 0.7500 0.7500  4 Tc 2.62, 4 As 2.62
Tc 0.0000 0.0000 0.0000  4 Be 2.62, 4 Tc 2.62